# Zn2AgPO5 PBE optimized geometry
data_Zn2AgPO5
_cell_length_a 5.644
_cell_length_b 5.845
_cell_length_c 7.625
_cell_angle_alpha 108.39
_cell_angle_beta 97.99
_cell_angle_gamma 94.53
_symmetry_space_group_name_H-M 'P -1'
_symmetry_Int_Tables_number 2
loop_
_symmetry_equiv_pos_as_xyz
'x,y,z'
'-x,-y,-z'
loop_
_atom_site_label
_atom_site_fract_x
_atom_site_fract_y
_atom_site_fract_z
_atom_site_occupancy
Zn1 0.109 0.127 0.185 1
Zn2 0.336 0.133 0.740 1
Ag1 0.382 0.676 0.872 1
P1 0.264 0.694 0.359 1
O1 0.083 0.468 0.250 1
O2 0.194 0.820 0.550 1
O3 0.226 0.050 0.936 1
O4 0.277 0.875 0.244 1
O5 0.466 0.365 0.624 1
# DFT total energy: -5.377 eV/atom